one.
Here is a geometry-optimized Cl structure from Alexandria via LeMat-Bulk. Energies are from PBE-GGA.

mass density	1.6	Mg/m³

Cell lengths 4.4196, 4.4196, 6.6332 Å; angles 90.00, 90.00, 120.00 degrees
Space group P3_121 (No. 152)
Symmetry-distinct sites (fractional):
Cl 0.0000 0.9234 0.1667

two.
Here is a geometry-optimized Cl structure from Alexandria via LeMat-Bulk. Energies are from PBE-GGA.

mass density	1.5	Mg/m³

Cell lengths 7.709, 7.709, 7.709 Å; angles 90.00, 90.00, 90.00 degrees
Space group Im-3m (No. 229)
Symmetry-distinct sites (fractional):
Cl 0.000 0.250 0.500

The energy of each structure relative to the most stable one, in meV per atom, is as follows: one 0; two 600.

one.
Here is a geometry-optimized AlHgBi2 structure from Alexandria via LeMat-Bulk. Energies are from PBE-GGA.

mass density	7.4	Mg/m³

Cell lengths 6.711, 6.711, 12.844 Å; angles 90.00, 90.00, 90.00 degrees
Space group I-42d (No. 122)
Symmetry-distinct sites (fractional):
Al 0.000 0.000 0.000
Hg 0.000 0.000 0.500
Bi 0.232 0.250 0.125

two.
Here is a geometry-optimized AlHgBi2 structure from Alexandria via LeMat-Bulk. Energies are from PBE-GGA.

mass density	9.1	Mg/m³

Cell lengths 4.4977, 4.4977, 20.0847 Å; angles 90.00, 90.00, 120.00 degrees
Space group R3m (No. 160, hexagonal axes)
Symmetry-distinct sites (fractional):
Al 0.0000 0.0000 0.0000
Hg 0.0000 0.0000 0.8337
Bi 0.0000 0.0000 0.4076
Bi 0.0000 0.0000 0.5960

The energy of each structure relative to the most stable one, in meV per atom, is as follows: one 21; two 0.

one.
Here is a geometry-optimized MgSb2Cl structure from Alexandria via LeMat-Bulk. Energies are from PBE-GGA.

mass density	4.8	Mg/m³

Cell lengths 5.697, 11.420, 3.209 Å; angles 90.00, 90.00, 90.00 degrees
Space group Cmmm (No. 65)
Symmetry-distinct sites (fractional):
Mg 0.000 0.000 0.000
Sb 0.250 0.250 0.500
Cl 0.000 0.500 0.000

two.
Here is a geometry-optimized MgSb2Cl structure from Alexandria via LeMat-Bulk. Energies are from PBE-GGA.

mass density	4.8	Mg/m³

Cell lengths 3.365, 3.944, 7.983 Å; angles 90.00, 92.41, 90.00 degrees
Space group P2/m (No. 10)
Symmetry-distinct sites (fractional):
Mg 0.000 0.000 0.000
Sb 0.484 0.500 0.795
Cl 0.500 0.000 0.500

The energy of each structure relative to the most stable one, in meV per atom, is as follows: one 95; two 0.